[1]
An optimized crystal structure of BiP2RuS, computed with PBE-GGA.

Output
The formation energy from raw total energies comes out at 1817 meV per atom. Its space-group type is P4/mmm, No. 123.

a = 5.203 Å, b = 5.203 Å, c = 5.108 Å
α = 90.00°, β = 90.00°, γ = 90.00°
Fractional coordinates of all 5 atoms:
Bi  0.000  0.000  0.000
P  0.000  0.500  0.000
P  0.500  0.000  0.000
Ru  0.500  0.500  0.500
S  0.000  0.000  0.500

=====

[2]
An optimized crystal structure of BeIrPbI2, computed with PBE-GGA.

Output
The formation energy from raw total energies comes out at 1498 meV per atom. Its space-group type is P4/mmm, No. 123.

a = 6.214 Å, b = 6.214 Å, c = 4.683 Å
α = 90.00°, β = 90.00°, γ = 90.00°
Fractional coordinates of all 5 atoms:
Be  0.000  0.000  0.000
Ir  0.500  0.500  0.000
Pb  0.000  0.000  0.500
I  0.000  0.500  0.500
I  0.500  0.000  0.500

=====

What is the formation energy from raw total energies in the second record?
1498 meV per atom

=====

Look up the formation energy from raw total energies of the second one.
1498 meV per atom

=====

The highest formation energy from raw total energies belongs to which entry?
BiP2RuS

=====

What is the formula in the first record?
BiP2RuS